1.
## SrCdGe2Ir (GGA-PBE)

Data for SrCdGe2Ir after structural relaxation.

CIF file:
```
data_SrCdGe2Ir
_chemical_formula_sum 'Sr2 Cd2 Ge4 Ir2'
_cell_length_a 4.4861
_cell_length_b 4.4861
_cell_length_c 10.7928
_cell_angle_alpha 90.00
_cell_angle_beta 90.00
_cell_angle_gamma 90.00
_symmetry_space_group_name_H-M 'P 4/n m m'
_symmetry_Int_Tables_number 129
loop_
_symmetry_equiv_pos_as_xyz
'x,y,z'
'-x,-y,-z'
'-y+1/2,x,z'
'y+1/2,-x,-z'
'-x+1/2,-y+1/2,z'
'x+1/2,y+1/2,-z'
'y,-x+1/2,z'
'-y,x+1/2,-z'
'x+1/2,-y,-z'
'-x+1/2,y,z'
'-y,-x,-z'
'y,x,z'
'-x,y+1/2,-z'
'x,-y+1/2,z'
'y+1/2,x+1/2,-z'
'-y+1/2,-x+1/2,z'
loop_
_atom_site_label
_atom_site_fract_x
_atom_site_fract_y
_atom_site_fract_z
Sr1 0.2500 0.2500 0.2343
Cd1 0.2500 0.7500 0.5000
Ge1 0.2500 0.2500 0.6662
Ge2 0.2500 0.7500 0.0000
Ir1 0.2500 0.2500 0.8917
```

Properties
Its magnetic moment is 0.0 μB per formula unit. The value obtained for the energy above the lowest structure with this stoichiometry is 0.000 eV per atom.

***

2.
## KCd2Ge2 (GGA-PBE)

Data for KCd2Ge2 after structural relaxation.

CIF file:
```
data_KCd2Ge2
_chemical_formula_sum 'K2 Cd4 Ge4'
_cell_length_a 4.6572
_cell_length_b 4.6572
_cell_length_c 11.5276
_cell_angle_alpha 90.00
_cell_angle_beta 90.00
_cell_angle_gamma 90.00
_symmetry_space_group_name_H-M 'I 4/m m m'
_symmetry_Int_Tables_number 139
_symmetry_space_group_name_Hall '-I 4 2'
loop_
_atom_site_label
_atom_site_fract_x
_atom_site_fract_y
_atom_site_fract_z
K1 0.0000 0.0000 0.0000
Cd1 0.0000 0.5000 0.2500
Ge1 0.0000 0.0000 0.3908
```

Properties
The total energy comes out at -25.34 eV per cell.

***

3.
## K4MgCdGe2 (GGA-PBE)

Data for K4MgCdGe2 after structural relaxation.

CIF file:
```
data_K4MgCdGe2
_chemical_formula_sum 'K4 Mg1 Cd1 Ge2'
_cell_length_a 5.0218
_cell_length_b 5.0218
_cell_length_c 11.9560
_cell_angle_alpha 90.00
_cell_angle_beta 90.00
_cell_angle_gamma 120.00
_symmetry_space_group_name_H-M 'P -6 m 2'
_symmetry_Int_Tables_number 187
_symmetry_space_group_name_Hall 'P -6 2'
loop_
_atom_site_label
_atom_site_fract_x
_atom_site_fract_y
_atom_site_fract_z
K1 0.0000 0.0000 0.1620
K2 0.6667 0.3333 0.3365
Mg1 0.3333 0.6667 0.5000
Cd1 0.3333 0.6667 0.0000
Ge1 0.0000 0.0000 0.5000
Ge2 0.6667 0.3333 0.0000
```

Properties
The total energy comes out at -16.65 eV per cell.

***

4.
## K4Cd2SnGe (GGA-PBE)

Data for K4Cd2SnGe after structural relaxation.

CIF file:
```
data_K4Cd2SnGe
_chemical_formula_sum 'K8 Cd4 Sn2 Ge2'
_cell_length_a 6.4319
_cell_length_b 10.7785
_cell_length_c 8.3456
_cell_angle_alpha 90.00
_cell_angle_beta 90.00
_cell_angle_gamma 90.00
_symmetry_space_group_name_H-M 'A m m 2'
_symmetry_Int_Tables_number 38
loop_
_symmetry_equiv_pos_as_xyz
'x,y,z'
'-x,-y,z'
'-x,y,z'
'x,-y,z'
'x,y+1/2,z+1/2'
'-x,-y+1/2,z+1/2'
'-x,y+1/2,z+1/2'
'x,-y+1/2,z+1/2'
loop_
_atom_site_label
_atom_site_fract_x
_atom_site_fract_y
_atom_site_fract_z
K1 0.0000 0.1703 0.0000
K2 0.5000 0.1747 0.2871
Cd1 0.2566 0.0000 0.6556
Sn1 0.0000 0.0000 0.3819
Ge1 0.5000 0.0000 0.9121
```

Properties
The total energy comes out at -32.72 eV per cell.

***

5.
## KTlCdGeTe4 (GGA-PBE)

Data for KTlCdGeTe4 after structural relaxation.

CIF file:
```
data_KTlCdGeTe4
_chemical_formula_sum 'K2 Tl2 Cd2 Ge2 Te8'
_cell_length_a 7.2578
_cell_length_b 8.5290
_cell_length_c 8.7299
_cell_angle_alpha 90.00
_cell_angle_beta 90.00
_cell_angle_gamma 90.00
_symmetry_space_group_name_H-M 'I 2 2 2'
_symmetry_Int_Tables_number 23
loop_
_symmetry_equiv_pos_as_xyz
'x,y,z'
'-x,-y,z'
'x,-y,-z'
'-x,y,-z'
'x+1/2,y+1/2,z+1/2'
'-x+1/2,-y+1/2,z+1/2'
'x+1/2,-y+1/2,-z+1/2'
'-x+1/2,y+1/2,-z+1/2'
loop_
_atom_site_label
_atom_site_fract_x
_atom_site_fract_y
_atom_site_fract_z
K1 0.0000 0.0000 0.0000
Tl1 0.0000 0.5000 0.5000
Cd1 0.0000 0.5000 0.0000
Ge1 0.0000 0.0000 0.5000
Te1 0.2240 0.1718 0.3295
```

Properties
The total energy comes out at -50.14 eV per cell.

***

6.
## K4ZnCdGe2 (GGA-PBE)

Data for K4ZnCdGe2 after structural relaxation.

CIF file:
```
data_K4ZnCdGe2
_chemical_formula_sum 'K8 Zn2 Cd2 Ge4'
_cell_length_a 7.9960
_cell_length_b 10.5337
_cell_length_c 6.2257
_cell_angle_alpha 90.00
_cell_angle_beta 90.80
_cell_angle_gamma 90.00
_symmetry_space_group_name_H-M 'C 1 2/m 1'
_symmetry_Int_Tables_number 12
loop_
_symmetry_equiv_pos_as_xyz
'x,y,z'
'-x,-y,-z'
'-x,y,-z'
'x,-y,z'
'x+1/2,y+1/2,z'
'-x+1/2,-y+1/2,-z'
'-x+1/2,y+1/2,-z'
'x+1/2,-y+1/2,z'
loop_
_atom_site_label
_atom_site_fract_x
_atom_site_fract_y
_atom_site_fract_z
K1 0.1421 0.1715 0.2485
Zn1 0.0000 0.5000 0.0000
Cd1 0.0000 0.5000 0.5000
Ge1 0.2488 0.0000 0.7669
```

Properties
The total energy comes out at -33.99 eV per cell.

***

7.
## La2Cd2Ge3 (GGA-PBE)

Data for La2Cd2Ge3 after structural relaxation.

CIF file:
```
data_La2Cd2Ge3
_chemical_formula_sum 'La6 Cd6 Ge9'
_cell_length_a 4.9706
_cell_length_b 4.9706
_cell_length_c 25.0550
_cell_angle_alpha 90.00
_cell_angle_beta 90.00
_cell_angle_gamma 120.00
_symmetry_space_group_name_H-M 'R 3 m'
_symmetry_Int_Tables_number 160
_symmetry_space_group_name_Hall 'R 3 -2"'
loop_
_atom_site_label
_atom_site_fract_x
_atom_site_fract_y
_atom_site_fract_z
La1 0.0000 0.0000 0.0000
La2 0.0000 0.0000 0.4952
Cd1 0.0000 0.0000 0.2477
Cd2 0.0000 0.0000 0.7469
Ge1 0.0000 0.0000 0.1213
Ge2 0.0000 0.0000 0.3657
Ge3 0.0000 0.0000 0.8803
```

Properties
Its magnetic moment is 0.0 μB per formula unit. The total energy comes out at -84.62 eV per cell.

***

8.
## Li4Cd3Ge (GGA-PBE)

Data for Li4Cd3Ge after structural relaxation.

CIF file:
```
data_Li4Cd3Ge
_chemical_formula_sum 'Li4 Cd3 Ge1'
_cell_length_a 5.4725
_cell_length_b 5.4725
_cell_length_c 5.4725
_cell_angle_alpha 90.00
_cell_angle_beta 90.00
_cell_angle_gamma 90.00
_symmetry_space_group_name_H-M 'P m -3 m'
_symmetry_Int_Tables_number 221
_symmetry_space_group_name_Hall '-P 4 2 3'
loop_
_atom_site_label
_atom_site_fract_x
_atom_site_fract_y
_atom_site_fract_z
Li1 0.0000 0.0000 0.0000
Li2 0.0000 0.5000 0.5000
Cd1 0.0000 0.0000 0.5000
Ge1 0.5000 0.5000 0.5000
```

Properties
The total energy comes out at -14.73 eV per cell.

***

9.
## LiCdGe2 (GGA-PBE)

Data for LiCdGe2 after structural relaxation.

CIF file:
```
data_LiCdGe2
_chemical_formula_sum 'Li4 Cd4 Ge8'
_cell_length_a 6.7618
_cell_length_b 6.7618
_cell_length_c 6.7618
_cell_angle_alpha 90.00
_cell_angle_beta 90.00
_cell_angle_gamma 90.00
_symmetry_space_group_name_H-M 'F -4 3 m'
_symmetry_Int_Tables_number 216
_symmetry_space_group_name_Hall 'F -4 2 3'
loop_
_atom_site_label
_atom_site_fract_x
_atom_site_fract_y
_atom_site_fract_z
Li1 0.0000 0.0000 0.0000
Cd1 0.2500 0.2500 0.2500
Ge1 0.0000 0.0000 0.5000
Ge2 0.2500 0.2500 0.7500
```

Properties
The total energy comes out at -47.62 eV per cell.

***

10.
## Li6CdGe (GGA-PBE)

Data for Li6CdGe after structural relaxation.

CIF file:
```
data_Li6CdGe
_chemical_formula_sum 'Li18 Cd3 Ge3'
_cell_length_a 7.3996
_cell_length_b 7.3996
_cell_length_c 8.1705
_cell_angle_alpha 90.00
_cell_angle_beta 90.00
_cell_angle_gamma 120.00
_symmetry_space_group_name_H-M 'R -3'
_symmetry_Int_Tables_number 148
_symmetry_space_group_name_Hall '-R 3'
loop_
_atom_site_label
_atom_site_fract_x
_atom_site_fract_y
_atom_site_fract_z
Li1 0.0072 0.2636 0.2548
Cd1 0.0000 0.0000 0.0000
Ge1 0.0000 0.0000 0.5000
```

Properties
The total energy comes out at -55.75 eV per cell.

***

11.
## Li4MgCdGe2 (GGA-PBE)

Data for Li4MgCdGe2 after structural relaxation.

CIF file:
```
data_Li4MgCdGe2
_chemical_formula_sum 'Li4 Mg1 Cd1 Ge2'
_cell_length_a 4.5598
_cell_length_b 4.5598
_cell_length_c 8.1686
_cell_angle_alpha 90.00
_cell_angle_beta 90.00
_cell_angle_gamma 120.00
_symmetry_space_group_name_H-M 'P -6 m 2'
_symmetry_Int_Tables_number 187
_symmetry_space_group_name_Hall 'P -6 2'
loop_
_atom_site_label
_atom_site_fract_x
_atom_site_fract_y
_atom_site_fract_z
Li1 0.0000 0.0000 0.1687
Li2 0.3333 0.6667 0.3272
Mg1 0.6667 0.3333 0.0000
Cd1 0.6667 0.3333 0.5000
Ge1 0.0000 0.0000 0.5000
Ge2 0.3333 0.6667 0.0000
```

Properties
The total energy comes out at -21.82 eV per cell.

***

12.
## Li4MgCdGe2 (GGA-PBE)

Data for Li4MgCdGe2 after structural relaxation.

CIF file:
```
data_Li4MgCdGe2
_chemical_formula_sum 'Li4 Mg1 Cd1 Ge2'
_cell_length_a 4.5345
_cell_length_b 4.5345
_cell_length_c 6.3747
_cell_angle_alpha 90.00
_cell_angle_beta 90.00
_cell_angle_gamma 90.00
_symmetry_space_group_name_H-M 'P -4 m 2'
_symmetry_Int_Tables_number 115
loop_
_symmetry_equiv_pos_as_xyz
'x,y,z'
'y,-x,-z'
'-x,-y,z'
'-y,x,-z'
'-x,y,z'
'-y,-x,-z'
'x,-y,z'
'y,x,-z'
loop_
_atom_site_label
_atom_site_fract_x
_atom_site_fract_y
_atom_site_fract_z
Li1 0.0000 0.0000 0.0000
Li2 0.0000 0.5000 0.7460
Li3 0.5000 0.5000 0.5000
Mg1 0.5000 0.5000 0.0000
Cd1 0.0000 0.0000 0.5000
Ge1 0.0000 0.5000 0.2388
```

Properties
The total energy comes out at -21.82 eV per cell.